1.
{
  "formula": "AlCrSbTe2",
  "functional": "PBE",
  "state": "relaxed",
  "space_group": "P4/mmm (123)",
  "polymorph_energy_ev_per_atom": 0.000,
  "n_ef_per_ev_cell": 4.73,
  "energy_ry_per_atom": -0.3165,
  "formation_energy_uncorrected_ev_per_atom": 0.448,
  "lattice": [[5.311, 0.000, 0.000], [0.000, 5.311, 0.000], [0.000, 0.000, 5.074]],
  "species": ["Te", "Te", "Al", "Sb", "Cr"],
  "frac_coords": [[0.500, 0.000, 0.000], [0.000, 0.500, 0.000], [0.500, 0.500, 0.500], [0.000, 0.000, 0.500], [0.000, 0.000, 0.000]]
}

---

2.
{
  "formula": "Hf2TiTl",
  "functional": "PBE",
  "state": "relaxed",
  "space_group": "R3m (160)",
  "polymorph_energy_ev_per_atom": 0.045,
  "e_form_mev_per_atom": 78.3,
  "n_ef_per_ev_cell": 3.26,
  "energy_ry_per_atom": -0.5486,
  "lattice": [[-2.928, -1.194, 0.493], [-0.352, -2.810, 1.489], [-1.527, 3.293, 9.294]],
  "species": ["Hf", "Hf", "Tl", "Ti"],
  "frac_coords": [[0.089, 0.089, 0.734], [0.245, 0.245, 0.265], [0.667, 0.667, 0.000], [0.500, 0.500, 0.501]]
}